Entry from Alexandria: an optimized crystal structure of UFeTcP2 (PBE).

Properties
crystal system	tetragonal
uncorrected energy	-44.42	eV per cell
mass density	10.111	Mg/m³
volume	74.5	Å³ per cell
energy of formation from the pure elements	-0.697	eV per atom

a = 5.4884 Å, b = 5.4884 Å, c = 5.4884 Å
α = 137.52°, β = 137.52°, γ = 61.64°
Fractional coordinates of all 5 atoms:
U 0.0000 0.0000 0.0000
Fe 0.7500 0.2500 0.5000
Tc 0.2500 0.7500 0.5000
P 0.3760 0.3760 0.0000
P 0.6240 0.6240 0.0000

---

Entry from Alexandria: an optimized crystal structure of U3Fe2Tc2P4 (PBE).

Properties
crystal system	trigonal
uncorrected energy	-100.82	eV per cell
mass density	10.467	Mg/m³
volume	181.8	Å³ per cell
energy of formation from the pure elements	-0.696	eV per atom

a = 3.9253 Å, b = 3.9253 Å, c = 13.6210 Å
α = 90.00°, β = 90.00°, γ = 120.00°
Fractional coordinates of all 11 atoms:
U 0.0000 0.0000 0.0000
U 0.0000 0.0000 0.2628
U 0.0000 0.0000 0.7372
Fe 0.3333 0.6667 0.1502
Fe 0.6667 0.3333 0.8498
Tc 0.3333 0.6667 0.5666
Tc 0.6667 0.3333 0.4334
P 0.3333 0.6667 0.3877
P 0.3333 0.6667 0.8715
P 0.6667 0.3333 0.1285
P 0.6667 0.3333 0.6123

---

Entry from Alexandria: an optimized crystal structure of FeTcPW2 (PBE).

Properties
crystal system	tetragonal
uncorrected energy	-46.25	eV per cell
mass density	11.719	Mg/m³
volume	78.3	Å³ per cell
energy of formation from the pure elements	0.778	eV per atom

a = 4.4298 Å, b = 4.4298 Å, c = 3.9896 Å
α = 90.00°, β = 90.00°, γ = 90.00°
Fractional coordinates of all 5 atoms:
Fe 0.0000 0.0000 0.0000
Tc 0.5000 0.5000 0.0000
P 0.0000 0.0000 0.5000
W 0.0000 0.5000 0.5000
W 0.5000 0.0000 0.5000

---

Entry from Alexandria: an optimized crystal structure of YFeTcP2 (PBE).

Properties
crystal system	tetragonal
uncorrected energy	-40.71	eV per cell
mass density	6.625	Mg/m³
volume	76.4	Å³ per cell
energy of formation from the pure elements	-0.919	eV per atom

a = 5.5545 Å, b = 5.5545 Å, c = 5.5545 Å
α = 137.83°, β = 137.83°, γ = 61.16°
Fractional coordinates of all 5 atoms:
Y 0.0000 0.0000 0.0000
Fe 0.2500 0.7500 0.5000
Tc 0.7500 0.2500 0.5000
P 0.3688 0.3688 0.0000
P 0.6312 0.6312 0.0000